Record 1
# KInN

Crystalline KInN at its relaxed geometry (PBE-GGA, Alexandria via LeMat-Bulk).

a b c (Å): 3.5380 6.3865 6.6793
angles (deg): 113.01 104.98 90.30
Last column: nearest neighbours and their distance in Å.
Fractional coordinates of all 6 atoms:
K: 0.0001 0.2698 0.8686  1 K 3.08, 4 N 3.08-3.21, 1 In 3.38
In: 0.3050 0.7992 0.4946  3 N 2.35-2.51
In: 0.7389 0.3181 0.3659  3 N 2.15-2.16
N: 0.2683 0.1606 0.4278  2 In 2.15
N: 0.6876 0.5982 0.2586  3 In 2.16-2.35
K: 0.0446 0.7907 0.0048  3 N 2.79-3.04, 1 K 3.08

Crystal system: triclinic
ΔE_f (raw), eV/atom: 0.222
Mass density, Mg/m³: 4.19
Total energy, eV per atom: -3.831
E above lowest polymorph, eV/atom: 0.293



Record 2
# KInN

Crystalline KInN at its relaxed geometry (PBE-GGA, Alexandria via LeMat-Bulk).

a b c (Å): 6.6678 3.6935 10.5705
angles (deg): 90.00 98.56 90.00
Last column: nearest neighbours and their distance in Å.
Fractional coordinates of all 12 atoms:
K: 0.8641 0.0000 0.1290  3 N 2.86-2.87
K: 0.8641 0.5000 0.6290  3 N 2.86-2.87
In: 0.5688 0.5000 0.8692  3 N 2.24-2.34
In: 0.5688 0.0000 0.3692  3 N 2.24-2.34
In: 0.4312 0.5000 0.1308  3 N 2.24-2.34
K: 0.1359 0.0000 0.8710  3 N 2.86-2.87
N: 0.2950 0.5000 0.7030  3 In 2.24-2.34
N: 0.2950 0.0000 0.2030  3 In 2.24-2.34
In: 0.4312 0.0000 0.6308  3 N 2.24-2.34
K: 0.1359 0.5000 0.3710  3 N 2.86-2.87
N: 0.7050 0.0000 0.7970  3 In 2.24-2.34
N: 0.7050 0.5000 0.2970  3 In 2.24-2.34

Crystal system: monoclinic
ΔE_f (raw), eV/atom: 0.086
Mass density, Mg/m³: 4.33
Total energy, eV per atom: -3.968
E above lowest polymorph, eV/atom: 0.156



Record 3
# KIn3N

Crystalline KIn3N at its relaxed geometry (PBE-GGA, Alexandria via LeMat-Bulk).

a b c (Å): 6.1170 6.1170 6.1170
angles (deg): 90.00 90.00 90.00
Last column: nearest neighbours and their distance in Å.
Fractional coordinates of all 5 atoms:
In: 0.0000 0.5000 0.0000  2 K 3.06
K: 0.0000 0.0000 0.0000  6 In 3.06
In: 0.0000 0.0000 0.5000  2 K 3.06
N: 0.5000 0.5000 0.5000  12 In 4.33
In: 0.5000 0.0000 0.0000  2 K 3.06

Crystal system: cubic
ΔE_f (raw), eV/atom: 1.981
Mass density, Mg/m³: 2.88
Total energy, eV per atom: -1.546
E above lowest polymorph, eV/atom: 1.460



Record 4
# KInN2O

Crystalline KInN2O at its relaxed geometry (PBE-GGA, Alexandria via LeMat-Bulk).

a b c (Å): 4.4582 4.4582 4.3323
angles (deg): 90.00 90.00 90.00
Last column: nearest neighbours and their distance in Å.
Fractional coordinates of all 5 atoms:
N: 0.0000 0.5000 0.0000  2 In 2.23
In: 0.0000 0.0000 0.0000  2 O 2.17, 4 N 2.23
K: 0.5000 0.5000 0.5000  8 N 3.11, 4 O 3.15
N: 0.5000 0.0000 0.0000  2 In 2.23
O: 0.0000 0.0000 0.5000  2 In 2.17

Crystal system: tetragonal
ΔE_f (raw), eV/atom: 0.675
Mass density, Mg/m³: 3.82
Total energy, eV per atom: -4.414



Record 5
# KInNO2

Crystalline KInNO2 at its relaxed geometry (PBE-GGA, Alexandria via LeMat-Bulk).

a b c (Å): 4.8376 4.8376 4.9490
angles (deg): 90.00 90.00 90.00
Last column: nearest neighbours and their distance in Å.
Fractional coordinates of all 5 atoms:
O: 0.0000 0.5000 0.0000  2 K 2.42
K: 0.0000 0.0000 0.0000  4 O 2.42, 2 N 2.47
O: 0.5000 0.0000 0.0000  2 K 2.42
In: 0.5000 0.5000 0.5000  4 N 3.42, 8 O 3.46
N: 0.0000 0.0000 0.5000  2 K 2.47

Crystal system: tetragonal
ΔE_f (raw), eV/atom: 1.272
Mass density, Mg/m³: 2.87
Total energy, eV per atom: -3.143



Record 6
# KInN2O

Crystalline KInN2O at its relaxed geometry (PBE-GGA, Alexandria via LeMat-Bulk).

a b c (Å): 5.1285 5.1285 4.7656
angles (deg): 90.00 90.00 90.00
Last column: nearest neighbours and their distance in Å.
Fractional coordinates of all 5 atoms:
In: 0.5000 0.5000 0.5000  8 N 3.50, 4 O 3.63
O: 0.0000 0.0000 0.5000  2 K 2.38
N: 0.0000 0.5000 0.0000  2 K 2.56
N: 0.5000 0.0000 0.0000  2 K 2.56
K: 0.0000 0.0000 0.0000  2 O 2.38, 4 N 2.56

Crystal system: tetragonal
ΔE_f (raw), eV/atom: 1.843
Mass density, Mg/m³: 2.62
Total energy, eV per atom: -3.246